Arrangement a

First-principles (PBE) data for a relaxed structure of HfRuOF2, as listed in Alexandria.

The value obtained for the density of states at the Fermi level is 0.95 states/eV per atom. For the total magnetic moment, the calculation gives 2.3 Bohr magnetons per cell.

The structure belongs to space group P4/mmm (No. 123); the cell edges are 4.2016, 4.2016 and 4.0783 Å and the angles 90.00°, 90.00° and 90.00°. The asymmetric unit holds Hf at (0.0000, 0.0000, 0.0000), Ru at (0.5000, 0.5000, 0.5000), O at (0.0000, 0.0000, 0.5000) and F at (0.0000, 0.5000, 0.0000).



Arrangement b

First-principles (PBE) data for a relaxed structure of HfRuOF2, as listed in Alexandria.

The value obtained for the density of states at the Fermi level is 0.99 states/eV per atom. For the total magnetic moment, the calculation gives 0.0 Bohr magnetons per cell.

The structure belongs to space group P4/mmm (No. 123); the cell edges are 4.4086, 4.4086 and 3.7003 Å and the angles 90.00°, 90.00° and 90.00°. The asymmetric unit holds Hf at (0.0000, 0.0000, 0.0000), Ru at (0.5000, 0.5000, 0.5000), O at (0.5000, 0.5000, 0.0000) and F at (0.0000, 0.5000, 0.5000).



Which one sits at the top of the stability order? arrangement a does.



Arrangement a

First-principles (PBE) data for a relaxed structure of HfSeOF2, as listed in Alexandria.

The value obtained for the density of states at the Fermi level is 0.97 states/eV per atom. For the total magnetic moment, the calculation gives 1.3 Bohr magnetons per cell.

The structure belongs to space group P4/mmm (No. 123); the cell edges are 4.7869, 4.7869 and 3.6788 Å and the angles 90.00°, 90.00° and 90.00°. The asymmetric unit holds Hf at (0.0000, 0.0000, 0.0000), Se at (0.5000, 0.5000, 0.5000), O at (0.5000, 0.5000, 0.0000) and F at (0.0000, 0.5000, 0.5000).



Arrangement b

First-principles (PBE) data for a relaxed structure of HfSeOF2, as listed in Alexandria.

The value obtained for the density of states at the Fermi level is 0.32 states/eV per atom. For the total magnetic moment, the calculation gives 2.0 Bohr magnetons per cell.

The structure belongs to space group P4/mmm (No. 123); the cell edges are 4.2957, 4.2957 and 4.0563 Å and the angles 90.00°, 90.00° and 90.00°. The asymmetric unit holds Hf at (0.0000, 0.0000, 0.0000), Se at (0.5000, 0.5000, 0.5000), O at (0.0000, 0.0000, 0.5000) and F at (0.0000, 0.5000, 0.0000).



Which one sits at the top of the stability order? arrangement b does.



Arrangement a

First-principles (PBE) data for a relaxed structure of HfSiOF2, as listed in Alexandria.

The value obtained for the density of states at the Fermi level is 0.75 states/eV per atom. For the total magnetic moment, the calculation gives 0.8 Bohr magnetons per cell.

The structure belongs to space group P4/mmm (No. 123); the cell edges are 4.6274, 4.6274 and 3.3151 Å and the angles 90.00°, 90.00° and 90.00°. The asymmetric unit holds Hf at (0.0000, 0.0000, 0.0000), Si at (0.5000, 0.5000, 0.5000), O at (0.5000, 0.5000, 0.0000) and F at (0.0000, 0.5000, 0.5000).



Arrangement b

First-principles (PBE) data for a relaxed structure of HfSiOF2, as listed in Alexandria.

The value obtained for the density of states at the Fermi level is 0.54 states/eV per atom. For the total magnetic moment, the calculation gives 0.0 Bohr magnetons per cell.

The structure belongs to space group P4/mmm (No. 123); the cell edges are 4.2950, 4.2950 and 4.0338 Å and the angles 90.00°, 90.00° and 90.00°. The asymmetric unit holds Hf at (0.0000, 0.0000, 0.0000), Si at (0.5000, 0.5000, 0.5000), O at (0.0000, 0.0000, 0.5000) and F at (0.0000, 0.5000, 0.0000).



Which one sits at the top of the stability order? arrangement b does.



Arrangement a

First-principles (PBE) data for a relaxed structure of SrHfOF2, as listed in Alexandria.

The value obtained for the density of states at the Fermi level is 0.53 states/eV per atom. For the total magnetic moment, the calculation gives 1.4 Bohr magnetons per cell.

The structure belongs to space group P4/mmm (No. 123); the cell edges are 4.5710, 4.5710 and 4.0848 Å and the angles 90.00°, 90.00° and 90.00°. The asymmetric unit holds Sr at (0.0000, 0.0000, 0.0000), Hf at (0.5000, 0.5000, 0.5000), O at (0.5000, 0.5000, 0.0000) and F at (0.0000, 0.5000, 0.5000).



Arrangement b

First-principles (PBE) data for a relaxed structure of SrHfOF2, as listed in Alexandria.

The value obtained for the density of states at the Fermi level is 0.71 states/eV per atom. For the total magnetic moment, the calculation gives 1.7 Bohr magnetons per cell.

The structure belongs to space group P4/mmm (No. 123); the cell edges are 4.4217, 4.4217 and 5.0133 Å and the angles 90.00°, 90.00° and 90.00°. The asymmetric unit holds Sr at (0.0000, 0.0000, 0.0000), Hf at (0.5000, 0.5000, 0.5000), O at (0.0000, 0.0000, 0.5000) and F at (0.0000, 0.5000, 0.0000).



Which one sits at the top of the stability order? arrangement a does.



Arrangement a

First-principles (PBE) data for a relaxed structure of HfTaOF2, as listed in Alexandria.

The value obtained for the density of states at the Fermi level is 0.81 states/eV per atom. For the total magnetic moment, the calculation gives 3.2 Bohr magnetons per cell.

The structure belongs to space group P4/mmm (No. 123); the cell edges are 4.3720, 4.3720 and 3.9460 Å and the angles 90.00°, 90.00° and 90.00°. The asymmetric unit holds Hf at (0.0000, 0.0000, 0.0000), Ta at (0.5000, 0.5000, 0.5000), O at (0.5000, 0.5000, 0.0000) and F at (0.0000, 0.5000, 0.5000).



Arrangement b

First-principles (PBE) data for a relaxed structure of HfTaOF2, as listed in Alexandria.

The value obtained for the density of states at the Fermi level is 0.60 states/eV per atom. For the total magnetic moment, the calculation gives 4.5 Bohr magnetons per cell.

The structure belongs to space group P4/mmm (No. 123); the cell edges are 4.2901, 4.2901 and 4.1240 Å and the angles 90.00°, 90.00° and 90.00°. The asymmetric unit holds Hf at (0.0000, 0.0000, 0.0000), Ta at (0.5000, 0.5000, 0.5000), O at (0.0000, 0.0000, 0.5000) and F at (0.0000, 0.5000, 0.0000).



Which one sits at the top of the stability order? arrangement b does.



Arrangement a

First-principles (PBE) data for a relaxed structure of HfTcOF2, as listed in Alexandria.

The value obtained for the density of states at the Fermi level is 0.39 states/eV per atom. For the total magnetic moment, the calculation gives 3.6 Bohr magnetons per cell.

The structure belongs to space group P4/mmm (No. 123); the cell edges are 4.7376, 4.7376 and 3.7600 Å and the angles 90.00°, 90.00° and 90.00°. The asymmetric unit holds Hf at (0.0000, 0.0000, 0.0000), Tc at (0.5000, 0.5000, 0.0000), O at (0.0000, 0.0000, 0.5000) and F at (0.0000, 0.5000, 0.5000).



Arrangement b

First-principles (PBE) data for a relaxed structure of HfTcOF2, as listed in Alexandria.

The value obtained for the density of states at the Fermi level is 1.56 states/eV per atom. For the total magnetic moment, the calculation gives 3.6 Bohr magnetons per cell.

The structure belongs to space group P4/mmm (No. 123); the cell edges are 4.2749, 4.2749 and 4.0613 Å and the angles 90.00°, 90.00° and 90.00°. The asymmetric unit holds Hf at (0.0000, 0.0000, 0.0000), Tc at (0.5000, 0.5000, 0.5000), O at (0.0000, 0.0000, 0.5000) and F at (0.0000, 0.5000, 0.0000).



Which one sits at the top of the stability order? arrangement b does.